[1]
{
  "formula": "CrBiP",
  "functional": "PBE-GGA",
  "state": "relaxed",
  "lattice": [[1.9384, 1.1191, 4.6408], [-1.9384, 1.1191, 4.6408], [0.0000, -2.2382, 4.6408]],
  "species": ["Cr", "Bi", "P"],
  "fractional_positions": [[0.0000, 0.0000, 0.0000], [0.8030, 0.8030, 0.8030], [0.3163, 0.3163, 0.3163]],
  "polymorph_energy_mev_per_atom": 49,
  "crystal_system": "trigonal",
  "delta_e_f_ev_per_atom": 0.141,
  "dos_ef_per_ev_cell": 2.301,
  "magnetic_moment_mub_per_cell": 0.22
}



[2]
{
  "formula": "BeCuOs",
  "functional": "PBE-GGA",
  "state": "relaxed",
  "lattice": [[-1.3714, 1.3714, 4.5485], [1.3714, -1.3714, 4.5485], [1.3714, 1.3714, -4.5485]],
  "species": ["Be", "Cu", "Os"],
  "fractional_positions": [[0.0000, 0.0000, 0.0000], [0.3535, 0.3535, 0.0000], [0.6537, 0.6537, 0.0000]],
  "polymorph_energy_mev_per_atom": 0,
  "crystal_system": "tetragonal",
  "delta_e_f_ev_per_atom": 0.120,
  "dos_ef_per_ev_cell": 2.081,
  "magnetic_moment_mub_per_cell": 0.00
}



[3]
{
  "formula": "Mg2Ge2Os",
  "functional": "PBE-GGA",
  "state": "relaxed",
  "lattice": [[6.5305, 0.0000, 0.0000], [0.0000, 6.5305, 0.0000], [0.0000, 0.0000, 4.0406]],
  "species": ["Mg", "Mg", "Mg", "Mg", "Ge", "Ge", "Ge", "Ge", "Os", "Os"],
  "fractional_positions": [[0.1756, 0.3244, 0.0000], [0.3244, 0.8244, 0.0000], [0.6756, 0.1756, 0.0000], [0.8244, 0.6756, 0.0000], [0.1360, 0.6360, 0.5000], [0.3640, 0.1360, 0.5000], [0.6360, 0.8640, 0.5000], [0.8640, 0.3640, 0.5000], [0.0000, 0.0000, 0.5000], [0.5000, 0.5000, 0.5000]],
  "crystal_system": "tetragonal",
  "delta_e_f_ev_per_atom": -0.089,
  "dos_ef_per_ev_cell": 3.384,
  "magnetic_moment_mub_per_cell": 0.42
}



[4]
{
  "formula": "In2AsCl",
  "functional": "PBE-GGA",
  "state": "relaxed",
  "lattice": [[0.0000, 3.6257, 3.6257], [3.6257, 0.0000, 3.6257], [3.6257, 3.6257, 0.0000]],
  "species": ["In", "In", "As", "Cl"],
  "fractional_positions": [[0.0000, 0.0000, 0.0000], [0.2500, 0.2500, 0.2500], [0.5000, 0.5000, 0.5000], [0.7500, 0.7500, 0.7500]],
  "polymorph_energy_mev_per_atom": 379,
  "crystal_system": "cubic",
  "raw_formation_energy_ev_per_atom": 0.00,
  "dos_ef_per_ev_cell": 2.182,
  "magnetic_moment_mub_per_cell": 0.00
}



[5]
{
  "formula": "Ta2CdPb",
  "functional": "PBE-GGA",
  "state": "relaxed",
  "lattice": [[3.0235, 0.0000, 0.0000], [0.0000, 3.0235, 0.0000], [0.0000, 0.0000, 8.9686]],
  "species": ["Ta", "Ta", "Cd", "Pb"],
  "fractional_positions": [[0.0000, 0.0000, 0.2417], [0.0000, 0.0000, 0.7583], [0.5000, 0.5000, 0.0000], [0.5000, 0.5000, 0.5000]],
  "crystal_system": "tetragonal",
  "delta_e_f_ev_per_atom": 0.595,
  "dos_ef_per_ev_cell": 3.354,
  "magnetic_moment_mub_per_cell": 0.00
}



[6]
{
  "formula": "Be2ZnCr2",
  "functional": "PBE-GGA",
  "state": "relaxed",
  "lattice": [[5.9265, 0.0000, 0.0000], [0.0000, 5.9265, 0.0000], [0.0000, 0.0000, 3.1159]],
  "species": ["Be", "Be", "Be", "Be", "Zn", "Zn", "Cr", "Cr", "Cr", "Cr"],
  "fractional_positions": [[0.1245, 0.3755, 0.0000], [0.3755, 0.8755, 0.0000], [0.6245, 0.1245, 0.0000], [0.8755, 0.6245, 0.0000], [0.0000, 0.0000, 0.0000], [0.5000, 0.5000, 0.0000], [0.1691, 0.6691, 0.5000], [0.3309, 0.1691, 0.5000], [0.6691, 0.8309, 0.5000], [0.8309, 0.3309, 0.5000]],
  "polymorph_energy_mev_per_atom": 0,
  "crystal_system": "tetragonal",
  "delta_e_f_ev_per_atom": 0.124,
  "dos_ef_per_ev_cell": 3.128,
  "magnetic_moment_mub_per_cell": 7.93
}



[7]
{
  "formula": "BaTaAu2",
  "functional": "PBE-GGA",
  "state": "relaxed",
  "lattice": [[2.3336, 1.3473, 5.9972], [-2.3336, 1.3473, 5.9972], [0.0000, -2.6946, 5.9972]],
  "species": ["Ba", "Ta", "Au", "Au"],
  "fractional_positions": [[0.0000, 0.0000, 0.0000], [0.5000, 0.5000, 0.5000], [0.1940, 0.1940, 0.1940], [0.8060, 0.8060, 0.8060]],
  "polymorph_energy_mev_per_atom": 0,
  "crystal_system": "trigonal",
  "delta_e_f_ev_per_atom": -0.114,
  "dos_ef_per_ev_cell": 2.727,
  "magnetic_moment_mub_per_cell": 0.00
}



[8]
{
  "formula": "Zr2TlSe",
  "functional": "PBE-GGA",
  "state": "relaxed",
  "lattice": [[1.8938, 1.0934, 7.4108], [-1.8938, 1.0934, 7.4108], [0.0000, -2.1867, 7.4108]],
  "species": ["Zr", "Zr", "Tl", "Se"],
  "fractional_positions": [[0.2336, 0.2336, 0.2336], [0.7664, 0.7664, 0.7664], [0.0000, 0.0000, 0.0000], [0.5000, 0.5000, 0.5000]],
  "polymorph_energy_mev_per_atom": 49,
  "crystal_system": "trigonal",
  "raw_formation_energy_ev_per_atom": -0.53,
  "dos_ef_per_ev_cell": 2.957,
  "magnetic_moment_mub_per_cell": 0.00
}



[9]
{
  "formula": "BaCa2SmIn4",
  "functional": "PBE-GGA",
  "state": "relaxed",
  "lattice": [[2.7838, 1.6072, 9.2589], [-2.7838, 1.6072, 9.2589], [0.0000, -3.2144, 9.2589]],
  "species": ["Ba", "Ca", "Ca", "Sm", "In", "In", "In", "In"],
  "fractional_positions": [[0.0000, 0.0000, 0.0000], [0.2486, 0.2486, 0.2486], [0.7514, 0.7514, 0.7514], [0.5000, 0.5000, 0.5000], [0.1279, 0.1279, 0.1279], [0.3838, 0.3838, 0.3838], [0.6162, 0.6162, 0.6162], [0.8721, 0.8721, 0.8721]],
  "crystal_system": "trigonal",
  "delta_e_f_ev_per_atom": -0.427,
  "dos_ef_per_ev_cell": 4.905,
  "magnetic_moment_mub_per_cell": 0.00
}



[10]
{
  "formula": "Ru",
  "functional": "PBE-GGA",
  "state": "relaxed",
  "lattice": [[-1.5311, 1.5311, 1.5311], [1.5311, -1.5311, 1.5311], [1.5311, 1.5311, -1.5311]],
  "species": ["Ru"],
  "fractional_positions": [[0.0000, 0.0000, 0.0000]],
  "polymorph_energy_mev_per_atom": 624,
  "crystal_system": "cubic",
  "delta_e_f_ev_per_atom": 0.624,
  "dos_ef_per_ev_cell": 2.300,
  "magnetic_moment_mub_per_cell": 0.00
}



[11]
{
  "formula": "BeSbSe2Br",
  "functional": "PBE-GGA",
  "state": "relaxed",
  "lattice": [[5.3159, 0.0000, 0.0000], [0.0000, 5.3159, 0.0000], [0.0000, 0.0000, 5.5552]],
  "species": ["Be", "Sb", "Se", "Se", "Br"],
  "fractional_positions": [[0.0000, 0.0000, 0.0000], [0.5000, 0.5000, 0.5000], [0.0000, 0.5000, 0.5000], [0.5000, 0.0000, 0.5000], [0.5000, 0.5000, 0.0000]],
  "polymorph_energy_mev_per_atom": 679,
  "crystal_system": "tetragonal",
  "raw_formation_energy_ev_per_atom": 0.73,
  "dos_ef_per_ev_cell": 3.190,
  "magnetic_moment_mub_per_cell": 0.69
}



[12]
{
  "formula": "ZrAg2Os",
  "functional": "PBE-GGA",
  "state": "relaxed",
  "lattice": [[-2.1072, 2.1072, 3.9651], [2.1072, -2.1072, 3.9651], [2.1072, 2.1072, -3.9651]],
  "species": ["Zr", "Ag", "Ag", "Os"],
  "fractional_positions": [[0.0000, 0.0000, 0.0000], [0.5000, 0.5000, 0.0000], [0.7500, 0.2500, 0.5000], [0.2500, 0.7500, 0.5000]],
  "polymorph_energy_mev_per_atom": 97,
  "crystal_system": "tetragonal",
  "delta_e_f_ev_per_atom": 0.171,
  "dos_ef_per_ev_cell": 1.525,
  "magnetic_moment_mub_per_cell": 0.00
}